[1]
A relaxed structure of KVZn2. Source: the Alexandria database, functional PBE.

As for the symmetry: Fm-3m. The calculation puts the formation energy at 2.87 eV/f.u. For the total moment, the calculation gives 3.80 μB/cell. The relative energy among the computed polymorphs is 31.1 meV per atom. As for the crystal system: cubic.

abc: 5.027 5.027 5.027
angles: 60.00 60.00 60.00
Each line ends with the local moment (μB).
Element x y z (fractional)
Zn: 0.250 0.250 0.250  0.02
Zn: 0.750 0.750 0.750  0.02
K: 0.000 0.000 0.000  0.02
V: 0.500 0.500 0.500  2.88

---

[2]
A relaxed structure of HoZrScOs. Source: the Alexandria database, functional PBE.

As for the symmetry: F-43m. The calculation puts the formation energy at -0.25 eV/f.u. For the total moment, the calculation gives 0.47 μB/cell. As for the crystal system: cubic.

abc: 4.893 4.893 4.893
angles: 60.00 60.00 60.00
Each line ends with the local moment (μB).
Element x y z (fractional)
Sc: 0.000 0.000 0.000  0.19
Os: 0.500 0.500 0.500  -0.06
Ho: 0.250 0.250 0.250  0.08
Zr: 0.750 0.750 0.750  0.14

---

Taking the records one at a time from the top gives electronic total energy values of -9.90 -30.94 eV for the cell shown.